ZrMnIr: relaxed, PBE.

Geometry as POSCAR:
```
ZrMnIr
1.0
4.4375 0.0000 0.0000
-2.2187 3.8430 0.0000
0.0000 0.0000 2.9593
Mn Ir Zr
1 1 1
Cartesian
2.2187 1.2810 0.8738 Mn
0.0000 0.0000 0.0725 Ir
0.0000 2.5620 2.0130 Zr
```

Calculated values
space group: No. 156
N(E_F): 2.054 states/eV/f.u.
calculated volume: 50.5 Å³/f.u.
M_tot: 3.56 μB per formula unit
calculated total energy: -0.672 Ry/atom